# PBE-GGA Pa2ZnGa2Rh5, optimized geometry
data_Pa2ZnGa2Rh5
_chemical_formula_sum 'Pa4 Zn2 Ga4 Rh10'
_cell_length_a 3.629
_cell_length_b 9.729
_cell_length_c 9.729
_cell_angle_alpha 90.00
_cell_angle_beta 90.00
_cell_angle_gamma 90.00
_symmetry_space_group_name_H-M 'P 1'
_symmetry_Int_Tables_number 1
loop_
_symmetry_equiv_pos_as_xyz
'x,y,z'
loop_
_atom_site_label
_atom_site_fract_x
_atom_site_fract_y
_atom_site_fract_z
Pa1 0.000 0.322 0.822
Pa2 0.000 0.678 0.178
Pa3 0.000 0.822 0.678
Pa4 0.000 0.178 0.322
Rh1 0.500 0.414 0.300
Rh2 0.500 0.700 0.414
Rh3 0.500 0.200 0.086
Rh4 0.500 0.086 0.800
Rh5 0.500 0.300 0.586
Rh6 0.500 0.586 0.700
Rh7 0.500 0.914 0.200
Rh8 0.500 0.800 0.914
Rh9 0.500 0.500 0.000
Rh10 0.500 0.000 0.500
Ga1 0.000 0.880 0.380
Ga2 0.000 0.380 0.120
Ga3 0.000 0.120 0.620
Ga4 0.000 0.620 0.880
Zn1 0.000 0.000 0.000
Zn2 0.000 0.500 0.500
# Formation energy   -56.97 kJ per mole of atoms
# Volume   17.18 Å³ per atom
# Size of the total moment   0.00 Bohr magnetons per cell
# N(E_F)   0.840 states/eV per atom